# 1
# PtWSe2, optimized geometry, DFT GGA-PBE
# M_tot   0.0000 μB per atom
# Electronic total energy   -6.51 eV per atom
data_PtWSe2
_chemical_formula_sum 'Pt1 W1 Se2'
_cell_length_a 2.853
_cell_length_b 3.843
_cell_length_c 7.827
_cell_angle_alpha 90.00
_cell_angle_beta 95.98
_cell_angle_gamma 90.00
_space_group_name_H-M_alt 'P 1'
_space_group_IT_number 1
loop_
_space_group_symop_operation_xyz
'x,y,z'
loop_
_atom_site_label
_atom_site_fract_x
_atom_site_fract_y
_atom_site_fract_z
Pt1 0.000 0.000 0.000
W1 0.468 0.500 0.835
Se1 0.363 0.000 0.604
Se2 0.673 0.500 0.177

=====

# 2
# PtWSe, optimized geometry, DFT GGA-PBE
# M_tot   0.0000 μB per atom
# Electronic total energy   -7.55 eV per atom
data_PtWSe
_chemical_formula_sum 'Pt2 W2 Se2'
_cell_length_a 12.727
_cell_length_b 3.110
_cell_length_c 3.110
_cell_angle_alpha 59.97
_cell_angle_beta 90.00
_cell_angle_gamma 90.00
_space_group_name_H-M_alt 'P 1'
_space_group_IT_number 1
loop_
_space_group_symop_operation_xyz
'x,y,z'
loop_
_atom_site_label
_atom_site_fract_x
_atom_site_fract_y
_atom_site_fract_z
Pt1 0.154 0.000 0.000
Pt2 0.846 0.000 0.000
W1 0.000 0.334 0.334
W2 0.500 0.312 0.312
Se1 0.359 0.645 0.645
Se2 0.641 0.645 0.645

=====

# 3
# PtWSe2, optimized geometry, DFT GGA-PBE
# M_tot   0.2603 μB per atom
# Electronic total energy   -5.88 eV per atom
data_PtWSe2
_chemical_formula_sum 'Pt1 W1 Se2'
_cell_length_a 5.337
_cell_length_b 5.337
_cell_length_c 5.337
_cell_angle_alpha 137.69
_cell_angle_beta 137.69
_cell_angle_gamma 61.37
_space_group_name_H-M_alt 'P 1'
_space_group_IT_number 1
loop_
_space_group_symop_operation_xyz
'x,y,z'
loop_
_atom_site_label
_atom_site_fract_x
_atom_site_fract_y
_atom_site_fract_z
Pt1 0.000 0.000 0.000
W1 0.750 0.250 0.500
Se1 0.250 0.750 0.500
Se2 0.500 0.500 0.000

=====

# 4
# Pt2WSe2, optimized geometry, DFT GGA-PBE
# M_tot   0.3150 μB per atom
# Electronic total energy   -5.85 eV per atom
data_Pt2WSe2
_chemical_formula_sum 'Pt4 W2 Se4'
_cell_length_a 7.058
_cell_length_b 7.058
_cell_length_c 3.579
_cell_angle_alpha 90.00
_cell_angle_beta 90.00
_cell_angle_gamma 90.00
_space_group_name_H-M_alt 'P 1'
_space_group_IT_number 1
loop_
_space_group_symop_operation_xyz
'x,y,z'
loop_
_atom_site_label
_atom_site_fract_x
_atom_site_fract_y
_atom_site_fract_z
Pt1 0.133 0.367 0.000
Pt2 0.367 0.867 0.000
Pt3 0.633 0.133 0.000
Pt4 0.867 0.633 0.000
W1 0.000 0.000 0.000
W2 0.500 0.500 0.000
Se1 0.183 0.683 0.500
Se2 0.317 0.183 0.500
Se3 0.683 0.817 0.500
Se4 0.817 0.317 0.500

=====

# 5
# Y2PtWSe, optimized geometry, DFT GGA-PBE
# M_tot   0.4272 μB per atom
# Electronic total energy   -6.93 eV per atom
data_Y2PtWSe
_chemical_formula_sum 'Y2 Pt1 W1 Se1'
_cell_length_a 5.498
_cell_length_b 5.498
_cell_length_c 4.777
_cell_angle_alpha 90.00
_cell_angle_beta 90.00
_cell_angle_gamma 90.00
_space_group_name_H-M_alt 'P 1'
_space_group_IT_number 1
loop_
_space_group_symop_operation_xyz
'x,y,z'
loop_
_atom_site_label
_atom_site_fract_x
_atom_site_fract_y
_atom_site_fract_z
Y1 0.000 0.500 0.000
Y2 0.500 0.000 0.000
Pt1 0.000 0.000 0.000
W1 0.000 0.000 0.500
Se1 0.500 0.500 0.500

=====

# 6
# Y2PtSe, optimized geometry, DFT GGA-PBE
# M_tot   0.0000 μB per atom
# Electronic total energy   -6.95 eV per atom
data_Y2PtSe
_chemical_formula_sum 'Y2 Pt1 Se1'
_cell_length_a 4.401
_cell_length_b 5.856
_cell_length_c 5.856
_cell_angle_alpha 37.85
_cell_angle_beta 90.00
_cell_angle_gamma 90.00
_space_group_name_H-M_alt 'P 1'
_space_group_IT_number 1
loop_
_space_group_symop_operation_xyz
'x,y,z'
loop_
_atom_site_label
_atom_site_fract_x
_atom_site_fract_y
_atom_site_fract_z
Y1 0.000 0.000 0.000
Y2 0.500 0.266 0.266
Pt1 0.500 0.524 0.524
Se1 0.000 0.733 0.733

=====

Repeat the fourth record exactly.
# Pt2WSe2, optimized geometry, DFT GGA-PBE
# M_tot   0.3150 μB per atom
# Electronic total energy   -5.85 eV per atom
data_Pt2WSe2
_chemical_formula_sum 'Pt4 W2 Se4'
_cell_length_a 7.058
_cell_length_b 7.058
_cell_length_c 3.579
_cell_angle_alpha 90.00
_cell_angle_beta 90.00
_cell_angle_gamma 90.00
_space_group_name_H-M_alt 'P 1'
_space_group_IT_number 1
loop_
_space_group_symop_operation_xyz
'x,y,z'
loop_
_atom_site_label
_atom_site_fract_x
_atom_site_fract_y
_atom_site_fract_z
Pt1 0.133 0.367 0.000
Pt2 0.367 0.867 0.000
Pt3 0.633 0.133 0.000
Pt4 0.867 0.633 0.000
W1 0.000 0.000 0.000
W2 0.500 0.500 0.000
Se1 0.183 0.683 0.500
Se2 0.317 0.183 0.500
Se3 0.683 0.817 0.500
Se4 0.817 0.317 0.500

=====

- Which of these has the highest M_tot?
  Y2PtWSe

=====

- Which of these has the highest electronic total energy?
  Pt2WSe2